## Cu6HgAu12 (PBE)

Data for an optimized crystal structure of Cu6HgAu12.

a b c (Å): 7.249 7.249 7.249
angles (deg): 104.09 104.09 104.09
Sites, in units of the cell vectors:
1 Cu 0.071 0.318 0.246
2 Cu 0.246 0.071 0.318
3 Cu 0.318 0.246 0.071
4 Cu 0.682 0.754 0.929
5 Cu 0.754 0.929 0.682
6 Cu 0.929 0.682 0.754
7 Hg 0.500 0.500 0.500
8 Au 0.031 0.685 0.135
9 Au 0.135 0.031 0.685
10 Au 0.179 0.662 0.530
11 Au 0.315 0.865 0.969
12 Au 0.338 0.470 0.821
13 Au 0.470 0.821 0.338
14 Au 0.530 0.179 0.662
15 Au 0.662 0.530 0.179
16 Au 0.685 0.135 0.031
17 Au 0.821 0.338 0.470
18 Au 0.865 0.969 0.315
19 Au 0.969 0.315 0.865

**Formation energy from the elements**: 116 meV/atom
**Raw total energy**: -3.263 eV per atom
**Fermi-level density of states**: 5.45 states/eV per cell